No. 1
Compound: Dy3Si2Pd2Au4
Source: Alexandria via LeMat-Bulk
Functional: PBE-GGA
Structure: optimized geometry

* space group: I4/mmm (139)
* D(E_F): 4.92 states/eV per cell
* uncorrected energy: -4.936 eV/atom
* volume: 20.7 Å³/atom

a = 3.977 Å, b = 3.977 Å, c = 14.637 Å
α = 97.81°, β = 97.81°, γ = 90.00°
Atoms (fractional coordinates):
Dy 0.178 0.178 0.355
Dy 0.000 0.000 0.000
Dy 0.822 0.822 0.645
Au 0.081 0.581 0.162
Au 0.419 0.919 0.838
Au 0.581 0.081 0.162
Au 0.919 0.419 0.838
Si 0.362 0.362 0.723
Si 0.638 0.638 0.277
Pd 0.278 0.278 0.555
Pd 0.722 0.722 0.445


No. 2
Compound: DyZnPdAu
Source: Alexandria via LeMat-Bulk
Functional: PBE-GGA
Structure: optimized geometry

* space group: Cm (8)
* D(E_F): 1.79 states/eV per cell
* volume: 19.6 Å³/atom
* energy of formation from the pure elements: -699 meV per atom

a = 4.504 Å, b = 4.519 Å, c = 5.143 Å
α = 115.97°, β = 90.00°, γ = 119.89°
Atoms (fractional coordinates):
Pd 0.399 0.798 0.839
Dy 0.619 0.239 0.500
Au 0.842 0.683 0.167
Zn 0.106 0.213 0.961


No. 3
Compound: Dy2Zn2Pd5Au
Source: Alexandria via LeMat-Bulk
Functional: PBE-GGA
Structure: optimized geometry

* space group: P4/mbm (127)
* D(E_F): 6.49 states/eV per cell
* volume: 17.7 Å³/atom
* energy of formation from the pure elements: -677 meV per atom

a = 3.872 Å, b = 9.551 Å, c = 9.551 Å
α = 90.00°, β = 90.00°, γ = 90.00°
Atoms (fractional coordinates):
Pd 0.500 0.000 0.500
Pd 0.500 0.294 0.570
Pd 0.500 0.706 0.430
Pd 0.500 0.070 0.794
Pd 0.500 0.930 0.206
Pd 0.500 0.430 0.294
Pd 0.500 0.500 0.000
Pd 0.500 0.206 0.070
Pd 0.500 0.794 0.930
Pd 0.500 0.570 0.706
Dy 0.000 0.821 0.679
Dy 0.000 0.679 0.179
Dy 0.000 0.321 0.821
Dy 0.000 0.179 0.321
Au 0.000 0.500 0.500
Au 0.000 0.000 0.000
Zn 0.000 0.882 0.382
Zn 0.000 0.618 0.882
Zn 0.000 0.382 0.118
Zn 0.000 0.118 0.618